VASP calculation (PBE-GGA) on a geometry-optimized SiNi2P3 structure.

The space group is P-4m2 (No. 115) and the conventional cell measures 3.890, 3.890 and 5.481 Å, with angles of 90.00, 90.00 and 90.00 degrees. The distinct sites, in fractional coordinates, are Si at (0.000, 0.000, 0.000), Ni at (0.000, 0.500, 0.749), P at (0.000, 0.000, 0.500), P at (0.500, 0.500, 0.000) and P at (0.500, 0.500, 0.500).

The calculation puts the magnetic moment at 0.0001 μB per atom. The value obtained for the calculated total energy is -5.579 eV per atom. The crystal system is tetragonal.